A geometry-optimized K2PmC2O6 structure, computed with PBE.

Structure (extended XYZ):
```
11
Lattice="5.7538 0.0000 0.0000 -2.8769 4.9830 0.0000 0.0000 0.0000 6.3850" Properties=species:S:1:pos:R:3 pbc="T T T"
K 0.0000 3.3220 2.1010
K 2.8769 1.6610 4.2840
O -1.1334 3.9784 5.1661
O 4.0103 1.0046 1.2189
O -0.0018 2.0123 5.1661
O 1.7418 1.0077 1.2189
O 1.1351 3.9753 5.1661
O 2.8787 2.9707 1.2189
C 2.8769 1.6610 1.1346
C 0.0000 3.3220 5.2504
Pm 0.0000 0.0000 0.0000
```

space group	P-3m1 (164)
raw formation energy	-1.85	eV per atom
total moment	0.00	μB per formula unit

---

A geometry-optimized LaHfSc2Co structure, computed with PBE.

Structure (extended XYZ):
```
5
Lattice="-2.9226 -0.5585 -3.9741 -2.0956 -3.9803 2.1005 -3.4095 2.9030 2.0994" Properties=species:S:1:pos:R:3 pbc="T T T"
La -4.2139 -0.8179 0.1129
Sc -1.0478 -1.9902 1.0503
Sc -1.4613 -0.2793 -1.9871
Hf -1.7048 1.4515 1.0497
Co 0.0000 0.0000 0.0000
```

space group	P4/mmm (123)
energy relative to the elements	-0.0482	eV per atom
total moment	0.00	μB per formula unit

---

A geometry-optimized Ir2PbICl structure, computed with PBE.

Structure (extended XYZ):
```
5
Lattice="-4.2586 -2.8398 -0.8657 2.3454 -1.8536 -5.4567 2.2326 -4.0612 2.3392" Properties=species:S:1:pos:R:3 pbc="T T T"
Ir 1.1163 -2.0306 1.1696
Ir -2.1293 -1.4199 -0.4329
I 1.1727 -0.9268 -2.7284
Pb 0.0000 0.0000 0.0000
Cl 0.1597 -4.3773 -1.9916
```

space group	P4/mmm (123)
raw formation energy	1.77	eV per atom
total moment	3.73	μB per formula unit